## Cs2LaPdBr6 (PBE)

Data for Cs2LaPdBr6 after structural relaxation.

```
data_Cs2LaPdBr6
_space_group_name_H-M_alt 'I 4/m m m'
_space_group_IT_number 139
_space_group_name_Hall '-I 4 2'
_cell_length_a 8.209
_cell_length_b 8.209
_cell_length_c 11.180
_cell_angle_alpha 90.00
_cell_angle_beta 90.00
_cell_angle_gamma 90.00
loop_
_atom_site_label
_atom_site_type_symbol
_atom_site_fract_x
_atom_site_fract_y
_atom_site_fract_z
_atom_site_occupancy
Cs1 Cs 0.000 0.500 0.250 1
La1 La 0.000 0.000 0.000 1
Pd1 Pd 0.000 0.000 0.500 1
Br1 Br 0.000 0.000 0.263 1
Br2 Br 0.248 0.248 0.500 1
```

Values from the calculation:
* formation energy (no corrections): -14.85 eV per formula unit